# 1
Compound: UAl10Os2
Source: the Alexandria database
Functional: PBE
Structure: optimized geometry

The energy of formation comes out at -4.65 eV per formula unit.

The space group is Cmcm (No. 63) and the conventional cell measures 9.037, 10.289 and 9.127 Å, with angles of 90.00, 90.00 and 90.00 degrees. The distinct sites, in fractional coordinates, are U at (0.000, 0.124, 0.250), Al at (0.000, 0.156, 0.602), Al at (0.000, 0.377, 0.050), Al at (0.151, 0.369, 0.750), Al at (0.220, 0.000, 0.000), Al at (0.224, 0.367, 0.250) and Os at (0.250, 0.250, 0.000).

=====

# 2
Compound: Li2NiPb2
Source: the Alexandria database
Functional: PBE
Structure: optimized geometry

The energy of formation comes out at -0.08 eV per formula unit.

The space group is P4/mbm (No. 127) and the conventional cell measures 6.964, 6.964 and 4.408 Å, with angles of 90.00, 90.00 and 90.00 degrees. The distinct sites, in fractional coordinates, are Li at (0.154, 0.346, 0.000), Ni at (0.000, 0.000, 0.500) and Pb at (0.160, 0.660, 0.500).

=====

# 3
Compound: Ca3ZnBi
Source: the Alexandria database
Functional: PBE
Structure: optimized geometry

Its relative energy among the computed polymorphs is 0 meV/atom. The energy of formation comes out at -2.04 eV per formula unit.

The space group is P2_1/c (No. 14) and the conventional cell measures 9.210, 6.752 and 10.242 Å, with angles of 90.00, 91.38 and 90.00 degrees. The distinct sites, in fractional coordinates, are Ca at (0.097, 0.006, 0.270), Ca at (0.272, 0.083, 0.593), Ca at (0.345, 0.624, 0.426), Zn at (0.020, 0.691, 0.499) and Bi at (0.431, 0.159, 0.328).

=====

# 4
Compound: Pd3Au5I12
Source: the Alexandria database
Functional: PBE
Structure: optimized geometry

Its formation energy from raw total energies is 161 kJ/mol of formula units.

The space group is Ia-3d (No. 230) and the conventional cell measures 17.811, 17.811 and 17.811 Å, with angles of 90.00, 90.00 and 90.00 degrees. The distinct sites, in fractional coordinates, are Pd at (0.000, 0.250, 0.125), Au at (0.000, 0.000, 0.000), Au at (0.000, 0.250, 0.375) and I at (0.010, 0.032, 0.341).

=====

# 5
Compound: Hg2MoCl
Source: the Alexandria database
Functional: PBE
Structure: optimized geometry

Its relative energy among the computed polymorphs is 447 meV/atom. Its formation energy from raw total energies is 237 kJ/mol of formula units.

The space group is P2/m (No. 10) and the conventional cell measures 4.906, 3.307 and 5.419 Å, with angles of 90.00, 103.74 and 90.00 degrees. The distinct sites, in fractional coordinates, are Hg at (0.000, 0.000, 0.000), Hg at (0.500, 0.500, 0.000), Mo at (0.000, 0.500, 0.500) and Cl at (0.500, 0.000, 0.500).